(1)
Computed, not measured: a relaxed BeB3Sb crystal at the PBE-GGA level of DFT.

a = 4.4674 Å, b = 4.4674 Å, c = 4.4674 Å
α = 90.00°, β = 90.00°, γ = 90.00°
Closest atoms and distances in Å follow each position.
Positions (direct):
1 Be 0.0000 0.0000 0.0000  12 B 3.16
2 B 0.0000 0.5000 0.5000  2 Sb 2.23
3 B 0.5000 0.0000 0.5000  2 Sb 2.23
4 B 0.5000 0.5000 0.0000  2 Sb 2.23
5 Sb 0.5000 0.5000 0.5000  6 B 2.23

Values from the calculation:
Its total moment is 0.00 Bohr magnetons per cell. The space group is No. 221. As for the relative energy among the computed polymorphs: 941 meV/atom.

---

(2)
Computed, not measured: a relaxed BeB3Sb crystal at the PBE-GGA level of DFT.

a = 3.8969 Å, b = 3.8969 Å, c = 3.8969 Å
α = 90.00°, β = 90.00°, γ = 90.00°
Closest atoms and distances in Å follow each position.
Positions (direct):
1 Be 0.0000 0.0000 0.0000  6 B 1.95
2 B 0.0000 0.0000 0.5000  2 Be 1.95
3 B 0.0000 0.5000 0.0000  2 Be 1.95
4 B 0.5000 0.0000 0.0000  2 Be 1.95
5 Sb 0.5000 0.5000 0.5000  12 B 2.76

Values from the calculation:
Its total moment is 0.00 Bohr magnetons per cell. The space group is No. 221. As for the relative energy among the computed polymorphs: 0 meV/atom.

---

(3)
Computed, not measured: a relaxed BeBSb3 crystal at the PBE-GGA level of DFT.

a = 4.7863 Å, b = 4.7863 Å, c = 4.7863 Å
α = 90.00°, β = 90.00°, γ = 90.00°
Closest atoms and distances in Å follow each position.
Positions (direct):
1 Be 0.0000 0.0000 0.0000  12 Sb 3.38
2 B 0.5000 0.5000 0.5000  6 Sb 2.39
3 Sb 0.0000 0.5000 0.5000  2 B 2.39
4 Sb 0.5000 0.0000 0.5000  2 B 2.39
5 Sb 0.5000 0.5000 0.0000  2 B 2.39

Values from the calculation:
Its total moment is 0.00 Bohr magnetons per cell. The space group is No. 221. As for the relative energy among the computed polymorphs: 0 meV/atom.

---

(4)
Computed, not measured: a relaxed BeBSbTe2 crystal at the PBE-GGA level of DFT.

a = 4.8412 Å, b = 4.8412 Å, c = 4.7960 Å
α = 90.00°, β = 90.00°, γ = 90.00°
Closest atoms and distances in Å follow each position.
Positions (direct):
1 Be 0.0000 0.0000 0.0000  8 Te 3.41, 4 Sb 3.42
2 B 0.5000 0.5000 0.5000  2 Sb 2.40, 4 Te 2.42
3 Sb 0.5000 0.5000 0.0000  2 B 2.40
4 Te 0.0000 0.5000 0.5000  2 B 2.42
5 Te 0.5000 0.0000 0.5000  2 B 2.42

Values from the calculation:
Its total moment is 0.00 Bohr magnetons per cell. The space group is No. 123. As for the relative energy among the computed polymorphs: 0 meV/atom.

---

(5)
Computed, not measured: a relaxed Y2BeBSb crystal at the PBE-GGA level of DFT.

a = 5.1616 Å, b = 5.1616 Å, c = 3.8173 Å
α = 90.00°, β = 90.00°, γ = 90.00°
Closest atoms and distances in Å follow each position.
Positions (direct):
1 Y 0.0000 0.5000 0.0000  2 B 2.58
2 Y 0.5000 0.0000 0.0000  2 B 2.58
3 Be 0.0000 0.0000 0.5000  2 B 1.91
4 B 0.0000 0.0000 0.0000  2 Be 1.91
5 Sb 0.5000 0.5000 0.5000  8 Y 3.21

Values from the calculation:
For the final energy, the calculation gives -5.954 eV per atom. Its total moment is 0.00 Bohr magnetons per cell. The space group is No. 123.

---

(6)
Computed, not measured: a relaxed ScBeB crystal at the PBE-GGA level of DFT.

a = 8.0956 Å, b = 3.4281 Å, c = 5.6263 Å
α = 90.00°, β = 90.00°, γ = 90.00°
Closest atoms and distances in Å follow each position.
Positions (direct):
1 Sc 0.1676 0.2500 0.0109  4 B 2.42-2.45, 1 Be 2.62
2 Sc 0.3324 0.7500 0.5109  4 B 2.42-2.45, 1 Be 2.62
3 Sc 0.6676 0.2500 0.4891  4 B 2.42-2.45, 1 Be 2.62
4 Sc 0.8324 0.7500 0.9891  4 B 2.42-2.45, 1 Be 2.62
5 Be 0.0344 0.2500 0.5869  3 B 1.92-1.99, 2 Be 2.05
6 Be 0.4656 0.7500 0.0869  3 B 1.92-1.99, 2 Be 2.05
7 Be 0.5344 0.2500 0.9131  3 B 1.92-1.99, 2 Be 2.05
8 Be 0.9656 0.7500 0.4131  3 B 1.92-1.99, 2 Be 2.05
9 B 0.0757 0.7500 0.7296  3 Be 1.92-1.99
10 B 0.4243 0.2500 0.2296  3 Be 1.92-1.99
11 B 0.5757 0.7500 0.7704  3 Be 1.92-1.99
12 B 0.9243 0.2500 0.2704  3 Be 1.92-1.99

Values from the calculation:
Its total moment is 0.00 Bohr magnetons per cell. The space group is No. 62. As for the relative energy among the computed polymorphs: 86 meV/atom. The value obtained for the formation energy is -0.2559 eV/atom.

---

Which formula does entry 1 have?
BeB3Sb

---

Repeat the sixth record exactly.
Computed, not measured: a relaxed ScBeB crystal at the PBE-GGA level of DFT.

a = 8.0956 Å, b = 3.4281 Å, c = 5.6263 Å
α = 90.00°, β = 90.00°, γ = 90.00°
Closest atoms and distances in Å follow each position.
Positions (direct):
1 Sc 0.1676 0.2500 0.0109  4 B 2.42-2.45, 1 Be 2.62
2 Sc 0.3324 0.7500 0.5109  4 B 2.42-2.45, 1 Be 2.62
3 Sc 0.6676 0.2500 0.4891  4 B 2.42-2.45, 1 Be 2.62
4 Sc 0.8324 0.7500 0.9891  4 B 2.42-2.45, 1 Be 2.62
5 Be 0.0344 0.2500 0.5869  3 B 1.92-1.99, 2 Be 2.05
6 Be 0.4656 0.7500 0.0869  3 B 1.92-1.99, 2 Be 2.05
7 Be 0.5344 0.2500 0.9131  3 B 1.92-1.99, 2 Be 2.05
8 Be 0.9656 0.7500 0.4131  3 B 1.92-1.99, 2 Be 2.05
9 B 0.0757 0.7500 0.7296  3 Be 1.92-1.99
10 B 0.4243 0.2500 0.2296  3 Be 1.92-1.99
11 B 0.5757 0.7500 0.7704  3 Be 1.92-1.99
12 B 0.9243 0.2500 0.2704  3 Be 1.92-1.99

Values from the calculation:
Its total moment is 0.00 Bohr magnetons per cell. The space group is No. 62. As for the relative energy among the computed polymorphs: 86 meV/atom. The value obtained for the formation energy is -0.2559 eV/atom.